(1)
PuMn2Ga2C | PBE | optimized geometry

Unit cell a=3.9196 b=3.9196 c=5.5582 alpha=90.00 beta=90.00 gamma=90.00
With the nearest neighbours (Å) after each atom.
Space group P4/mmm (No. 123)
Unique sites:
Pu 0.0000 0.0000 0.0000 [1 per cell]  2 C 2.78, 8 Ga 3.04
Mn 0.0000 0.5000 0.5000 [2 per cell]  2 C 1.96
Ga 0.5000 0.5000 0.2268 [2 per cell]  4 Mn 2.48, 1 Ga 2.52
C 0.0000 0.0000 0.5000 [1 per cell]  4 Mn 1.96

Values from the calculation:
**E**: -8.241 eV per atom
**D(E_F)**: 1.67 states/eV/atom
**Crystal system**: tetragonal

(2)
TbInGa2Br6 | PBE | optimized geometry

Unit cell a=7.8189 b=7.8258 c=8.3248 alpha=62.02 beta=62.01 gamma=60.04
With the nearest neighbours (Å) after each atom.
Space group P1 (No. 1)
Unique sites:
Tb 0.0000 0.0000 0.0000 [1 per cell]  6 Br 2.81-2.87
In 0.4901 0.4901 0.5299 [1 per cell]  6 Br 3.25-3.42
Ga 0.1923 0.1911 0.4244 [1 per cell]  6 Br 3.12-3.24
Ga 0.6841 0.6840 0.9481 [1 per cell]  6 Br 3.11-3.18
Br 0.0730 0.3759 0.7397 [1 per cell]  1 Tb 2.86, 2 Ga 3.12-3.13
Br 0.2469 0.9053 0.2105 [1 per cell]  1 Tb 2.81
Br 0.3762 0.8117 0.7394 [1 per cell]  1 Tb 2.87, 2 Ga 3.12
Br 0.6376 0.2462 0.2107 [1 per cell]  1 Tb 2.81
Br 0.8111 0.0726 0.7398 [1 per cell]  1 Tb 2.86, 2 Ga 3.11-3.13
Br 0.9057 0.6376 0.2104 [1 per cell]  1 Tb 2.81

Values from the calculation:
**Formation energy from raw total energies**: -1.10 eV/atom
**D(E_F)**: 0.00 states/eV/atom
**Crystal system**: triclinic

(3)
Li2BeRe2 | PBE | optimized geometry

Unit cell a=3.6209 b=3.6209 c=10.5436 alpha=90.00 beta=90.00 gamma=90.00
With the nearest neighbours (Å) after each atom.
Space group I4/mmm (No. 139)
Unique sites:
Li 0.0000 0.0000 0.0848 [4 per cell]  1 Li 1.79
Be 0.0000 0.0000 0.5000 [2 per cell]  8 Li 2.71
Re 0.0000 0.5000 0.2500 [4 per cell]  4 Li 2.51, 4 Re 2.56

Values from the calculation:
**E**: -5.592 eV per atom
**D(E_F)**: 0.40 states/eV/atom
**Crystal system**: tetragonal

(4)
AsIr2Cl | PBE | optimized geometry

Unit cell a=2.8018 b=5.1370 c=9.9848 alpha=90.00 beta=90.00 gamma=90.00
With the nearest neighbours (Å) after each atom.
Space group Cmm2 (No. 35)
Unique sites:
As 0.0000 0.0000 0.0000 [2 per cell]  2 Ir 2.56, 2 As 2.80
Ir 0.0000 0.0000 0.4436 [2 per cell]  2 Cl 2.43, 2 Ir 2.68
Ir 0.0000 0.5000 0.2145 [2 per cell]  2 As 2.56, 4 Ir 2.68-2.80
Cl 0.0000 0.5000 0.6430 [2 per cell]  2 Ir 2.43

Values from the calculation:
**Formation energy from raw total energies**: 0.39 eV/atom
**D(E_F)**: 0.69 states/eV/atom
**Crystal system**: orthorhombic

(5)
Ce8HC4O3 | PBE | optimized geometry

Unit cell a=7.2374 b=7.2374 c=17.4485 alpha=90.00 beta=90.00 gamma=120.00
With the nearest neighbours (Å) after each atom.
Space group R-3m (No. 166, hexagonal axes)
Unique sites:
Ce 0.0000 0.0000 0.2488 [6 per cell]  3 O 2.53, 3 C 2.56
Ce 0.0042 0.5021 0.7489 [18 per cell]  3 C 2.51-2.55, 2 O 2.55, 1 H 2.58
H 0.0000 0.0000 0.5000 [3 per cell]  6 Ce 2.58
C 0.0000 0.0000 0.0000 [3 per cell]  6 Ce 2.51
C 0.0000 0.5000 0.0000 [9 per cell]  6 Ce 2.55-2.56
O 0.0000 0.5000 0.5000 [9 per cell]  6 Ce 2.53-2.55

Values from the calculation:
**E**: -7.669 eV per atom
**D(E_F)**: 1.40 states/eV/atom
**Crystal system**: trigonal

(6)
Rb2AlSiCl | PBE | optimized geometry

Unit cell a=6.9693 b=6.9693 c=5.1335 alpha=90.00 beta=90.00 gamma=90.00
With the nearest neighbours (Å) after each atom.
Space group P4/mmm (No. 123)
Unique sites:
Rb 0.0000 0.5000 0.0000 [2 per cell]  2 Al 3.48
Al 0.0000 0.0000 0.0000 [1 per cell]  2 Cl 2.57
Si 0.5000 0.5000 0.5000 [1 per cell]  8 Rb 4.33
Cl 0.0000 0.0000 0.5000 [1 per cell]  2 Al 2.57

Values from the calculation:
**Formation energy from raw total energies**: 0.36 eV/atom
**D(E_F)**: 0.48 states/eV/atom
**Crystal system**: tetragonal

(7)
LiS2N | PBE | optimized geometry

Unit cell a=3.8846 b=3.8846 c=16.7637 alpha=90.00 beta=90.00 gamma=120.00
With the nearest neighbours (Å) after each atom.
Space group R-3m (No. 166, hexagonal axes)
Unique sites:
Li 0.0000 0.0000 0.0000 [3 per cell]  6 S 2.56
S 0.0000 0.0000 0.4069 [6 per cell]  1 N 1.56
N 0.0000 0.0000 0.5000 [3 per cell]  2 S 1.56

Values from the calculation:
**Formation energy from raw total energies**: 0.10 eV/atom
**D(E_F)**: 0.56 states/eV/atom
**Crystal system**: trigonal

(8)
Y2ZrRu2 | PBE | optimized geometry

Unit cell a=7.0474 b=7.0474 c=4.4470 alpha=90.00 beta=90.00 gamma=90.00
With the nearest neighbours (Å) after each atom.
Space group P4/mbm (No. 127)
Unique sites:
Y 0.1768 0.3232 0.0000 [4 per cell]  6 Ru 2.97-3.10
Zr 0.0000 0.0000 0.5000 [2 per cell]  4 Ru 2.78
Ru 0.1254 0.6254 0.5000 [4 per cell]  1 Ru 2.50, 2 Zr 2.78

Values from the calculation:
**E**: -8.308 eV per atom
**D(E_F)**: 0.89 states/eV/atom
**Crystal system**: tetragonal

(9)
H6S2I | PBE | optimized geometry

Unit cell a=13.3637 b=8.8050 c=8.8393 alpha=90.00 beta=130.29 gamma=90.00
With the nearest neighbours (Å) after each atom.
Space group C2/c (No. 15)
Unique sites:
H 0.0284 0.1504 0.3050 [8 per cell]  1 H 0.75
H 0.1419 0.4494 0.2353 [8 per cell]  1 S 1.37
H 0.2161 0.0557 0.7763 [8 per cell]  1 S 1.35
S 0.2146 0.3405 0.2348 [8 per cell]  2 H 1.35-1.37
I 0.0000 0.3338 0.7500 [4 per cell]  2 H 2.75

Values from the calculation:
**E**: -3.378 eV per atom
**Crystal system**: monoclinic

(10)
LiUNbN3 | PBE | optimized geometry

Unit cell a=6.7080 b=3.1403 c=6.7407 alpha=90.00 beta=104.79 gamma=90.00
With the nearest neighbours (Å) after each atom.
Space group P2_1/m (No. 11)
Unique sites:
Li 0.0939 0.2500 0.0930 [2 per cell]  4 N 1.89-1.97
U 0.1967 0.2500 0.7300 [2 per cell]  7 N 2.30-2.56
Nb 0.3426 0.7500 0.3452 [2 per cell]  6 N 2.18-2.36
N 0.1140 0.2500 0.3777 [2 per cell]  1 Li 1.89
N 0.2091 0.7500 0.9854 [2 per cell]  3 Li 1.97
N 0.4391 0.7500 0.6810 [2 per cell]  3 Nb 2.18-2.19, 2 U 2.34

Values from the calculation:
**Formation energy from raw total energies**: -0.94 eV/atom
**D(E_F)**: 0.52 states/eV/atom
**Crystal system**: monoclinic

(11)
BaLaI2O | PBE | optimized geometry

Unit cell a=6.6211 b=6.6211 c=4.3479 alpha=90.00 beta=90.00 gamma=90.00
With the nearest neighbours (Å) after each atom.
Space group P4/mmm (No. 123)
Unique sites:
Ba 0.0000 0.0000 0.0000 [1 per cell]  8 I 3.96, 2 Ba 4.35
La 0.5000 0.5000 0.5000 [1 per cell]  2 O 2.17
I 0.0000 0.5000 0.5000 [2 per cell]  2 La 3.31
O 0.5000 0.5000 0.0000 [1 per cell]  2 La 2.17

Values from the calculation:
**Formation energy from raw total energies**: -1.87 eV/atom
**D(E_F)**: 0.39 states/eV/atom
**Crystal system**: tetragonal

(12)
Ca2Ni3Ge4Rh | PBE | optimized geometry

Unit cell a=4.0676 b=4.0676 c=10.1941 alpha=90.00 beta=90.00 gamma=90.00
With the nearest neighbours (Å) after each atom.
Space group P-4m2 (No. 115)
Unique sites:
Ca 0.0000 0.5000 0.2431 [2 per cell]  6 Ni 3.10-3.32, 8 Ge 3.13-3.21, 2 Rh 3.32
Ni 0.0000 0.5000 0.8708 [2 per cell]  5 Ge 2.39-2.42
Ni 0.5000 0.5000 0.5000 [1 per cell]  4 Ge 2.46
Ge 0.0000 0.0000 0.0000 [1 per cell]  4 Ni 2.42
Ge 0.0000 0.5000 0.6362 [2 per cell]  3 Ni 2.39-2.46, 2 Rh 2.46
Ge 0.5000 0.5000 0.0000 [1 per cell]  4 Ni 2.42
Rh 0.0000 0.0000 0.5000 [1 per cell]  4 Ge 2.46

Values from the calculation:
**E**: -5.310 eV per atom
**D(E_F)**: 0.40 states/eV/atom
**Crystal system**: tetragonal

(13)
CuBSb2Rh | PBE | optimized geometry

Unit cell a=4.9746 b=4.9746 c=4.8073 alpha=90.00 beta=90.00 gamma=90.00
With the nearest neighbours (Å) after each atom.
Space group P4/mmm (No. 123)
Unique sites:
Cu 0.0000 0.0000 0.0000 [1 per cell]  2 Rh 2.40
B 0.5000 0.5000 0.0000 [1 per cell]  8 Sb 3.46, 4 Cu 3.52
Sb 0.0000 0.5000 0.5000 [2 per cell]  2 Rh 2.49
Rh 0.0000 0.0000 0.5000 [1 per cell]  2 Cu 2.40, 4 Sb 2.49

Values from the calculation:
**Formation energy from raw total energies**: 1.19 eV/atom
**D(E_F)**: 0.99 states/eV/atom
**Crystal system**: tetragonal

(14)
K3Sr | PBE | optimized geometry

Unit cell a=4.4092 b=4.4092 c=13.7025 alpha=90.00 beta=90.00 gamma=90.00
With the nearest neighbours (Å) after each atom.
Space group P4/mmm (No. 123)
Unique sites:
K 0.0000 0.0000 0.0000 [1 per cell]  12 K 4.41-4.72
K 0.5000 0.5000 0.2587 [2 per cell]  8 K 4.41-4.72, 4 Sr 4.54
Sr 0.0000 0.0000 0.5000 [1 per cell]  4 Sr 4.41, 8 K 4.54

Values from the calculation:
**E**: -1.172 eV per atom
**D(E_F)**: 1.06 states/eV/atom
**Crystal system**: tetragonal

(15)
CaTlInSe3 | PBE | optimized geometry

Unit cell a=4.2605 b=15.1183 c=11.6929 alpha=90.00 beta=90.00 gamma=90.00
With the nearest neighbours (Å) after each atom.
Space group Cmcm (No. 63)
Unique sites:
Ca 0.0000 0.0000 0.0000 [4 per cell]  6 Se 2.98-3.15
Tl 0.0000 0.2384 0.2500 [4 per cell]  6 Se 3.44-3.51, 2 In 3.79
In 0.0000 0.4689 0.7500 [4 per cell]  4 Se 2.57-2.69
Se 0.0000 0.0771 0.7500 [4 per cell]  2 In 2.69
Se 0.0000 0.3728 0.5687 [8 per cell]  1 In 2.57

Values from the calculation:
**Formation energy from raw total energies**: -0.98 eV/atom
**D(E_F)**: 0.00 states/eV/atom
**Crystal system**: orthorhombic

(16)
AcTcP3Ru | PBE | optimized geometry

Unit cell a=6.4209 b=12.4642 c=6.0919 alpha=90.00 beta=90.00 gamma=90.00
With the nearest neighbours (Å) after each atom.
Space group Cmcm (No. 63)
Unique sites:
Ac 0.0000 0.2064 0.2500 [4 per cell]  8 P 3.13-3.33, 2 Ru 3.39
Tc 0.0000 0.4373 0.7500 [4 per cell]  1 P 2.17
P 0.0000 0.2632 0.7500 [4 per cell]  1 Tc 2.17, 1 Ru 2.19
P 0.2289 0.0000 0.0000 [8 per cell]  2 Ru 2.38, 2 Tc 2.44
Ru 0.0000 0.0875 0.7500 [4 per cell]  5 P 2.19-2.38

Values from the calculation:
**E**: -7.288 eV per atom
**D(E_F)**: 0.74 states/eV/atom
**Crystal system**: orthorhombic

(17)
Li4TbNd | PBE | optimized geometry

Unit cell a=8.3518 b=8.3518 c=8.3518 alpha=90.00 beta=90.00 gamma=90.00
With the nearest neighbours (Å) after each atom.
Space group F-43m (No. 216)
Unique sites:
Li 0.1254 0.1254 0.1254 [16 per cell]  6 Li 2.94-2.96
Tb 0.0000 0.0000 0.5000 [4 per cell]  12 Li 3.46, 4 Nd 3.62
Nd 0.2500 0.2500 0.7500 [4 per cell]  12 Li 3.46, 4 Tb 3.62

Values from the calculation:
**E**: -2.734 eV per atom
**D(E_F)**: 0.88 states/eV/atom
**Crystal system**: cubic

(18)
TlTcI2N | PBE | optimized geometry

Unit cell a=5.8127 b=5.8127 c=3.8156 alpha=90.00 beta=90.00 gamma=90.00
With the nearest neighbours (Å) after each atom.
Space group P4/mmm (No. 123)
Unique sites:
Tl 0.0000 0.0000 0.0000 [1 per cell]  8 I 3.48, 2 Tl 3.82
Tc 0.5000 0.5000 0.5000 [1 per cell]  2 N 1.91
I 0.0000 0.5000 0.5000 [2 per cell]  2 Tc 2.91
N 0.5000 0.5000 0.0000 [1 per cell]  2 Tc 1.91

Values from the calculation:
**Formation energy from raw total energies**: 0.12 eV/atom
**D(E_F)**: 0.88 states/eV/atom
**Crystal system**: tetragonal

(19)
Nd2GaCu2 | PBE | optimized geometry

Unit cell a=10.5701 b=4.3775 c=10.7949 alpha=90.00 beta=118.29 gamma=90.00
With the nearest neighbours (Å) after each atom.
Space group C2/m (No. 12)
Unique sites:
Nd 0.0194 0.0000 0.3407 [4 per cell]  7 Cu 3.04-3.23, 4 Ga 3.08-3.14
Nd 0.1994 0.0000 0.1101 [4 per cell]  6 Cu 3.09-3.19, 2 Ga 3.29
Ga 0.2280 0.5000 0.3498 [4 per cell]  3 Cu 2.52-2.57
Cu 0.0049 0.5000 0.8862 [4 per cell]  1 Cu 2.51, 1 Ga 2.57
Cu 0.1410 0.5000 0.5620 [4 per cell]  2 Ga 2.52, 1 Cu 2.63

Values from the calculation:
**E**: -4.472 eV per atom
**D(E_F)**: 0.93 states/eV/atom
**Crystal system**: monoclinic

(20)
NiTe3Cl | PBE | optimized geometry

Unit cell a=5.2977 b=5.2977 c=5.2977 alpha=90.00 beta=90.00 gamma=90.00
With the nearest neighbours (Å) after each atom.
Space group Pm-3m (No. 221)
Unique sites:
Ni 0.0000 0.0000 0.0000 [1 per cell]  12 Te 3.75
Te 0.0000 0.5000 0.5000 [3 per cell]  2 Cl 2.65
Cl 0.5000 0.5000 0.5000 [1 per cell]  6 Te 2.65

Values from the calculation:
**Formation energy from raw total energies**: 1.19 eV/atom
**D(E_F)**: 2.02 states/eV/atom
**Crystal system**: cubic

(21)
Sm3BiO3 | PBE | optimized geometry

Unit cell a=8.8150 b=8.8150 c=4.4824 alpha=90.00 beta=90.00 gamma=120.00
With the nearest neighbours (Å) after each atom.
Space group P6_3/m (No. 176)
Unique sites:
Sm 0.0560 0.3202 0.2500 [6 per cell]  4 O 2.26-2.45
Bi 0.3333 0.6667 0.7500 [2 per cell]  3 O 3.37, 9 Sm 3.49-3.59
O 0.0296 0.2378 0.7500 [6 per cell]  4 Sm 2.26-2.45

Values from the calculation:
**Formation energy from raw total energies**: -2.58 eV/atom
**D(E_F)**: 0.03 states/eV/atom
**Crystal system**: hexagonal

(22)
AcPr12Ho7 | PBE | optimized geometry

Unit cell a=12.4715 b=12.4715 c=15.6769 alpha=90.00 beta=90.00 gamma=120.00
With the nearest neighbours (Å) after each atom.
Space group R-3 (No. 148, hexagonal axes)
Unique sites:
Ac 0.0000 0.0000 0.0000 [3 per cell]  6 Pr 3.66, 6 Ho 3.77
Pr 0.0106 0.4352 0.7108 [18 per cell]  3 Pr 3.22-3.49, 1 Ho 3.57
Pr 0.0540 0.5925 0.0886 [18 per cell]  4 Pr 3.22-3.49, 2 Ho 3.36-3.58
Ho 0.0000 0.0000 0.5000 [3 per cell]  6 Pr 3.36
Ho 0.0470 0.1860 0.8001 [18 per cell]  3 Ho 3.54-3.62, 6 Pr 3.57-3.93, 1 Ac 3.77

Values from the calculation:
**E**: -4.461 eV per atom
**D(E_F)**: 1.64 states/eV/atom
**Crystal system**: trigonal

(23)
NdMnCo10 | PBE | optimized geometry

Unit cell a=4.0276 b=4.7643 c=8.4702 alpha=90.00 beta=90.00 gamma=90.00
With the nearest neighbours (Å) after each atom.
Space group Pmmm (No. 47)
Unique sites:
Nd 0.0000 0.0000 0.0000 [1 per cell]  18 Co 2.96-3.21
Mn 0.0000 0.5000 0.5000 [1 per cell]  6 Co 2.49-2.70
Co 0.0000 0.0000 0.3501 [2 per cell]  7 Co 2.38-2.54
Co 0.0000 0.5000 0.2065 [2 per cell]  4 Co 2.37, 1 Mn 2.49
Co 0.5000 0.0000 0.5000 [1 per cell]  8 Co 2.38
Co 0.5000 0.2542 0.2585 [4 per cell]  8 Co 2.34-2.48
Co 0.5000 0.5000 0.0000 [1 per cell]  8 Co 2.48-2.67

Values from the calculation:
**E**: -6.986 eV per atom
**D(E_F)**: 1.21 states/eV/atom
**Crystal system**: orthorhombic